Ag2Ge2O5 | the Alexandria database | GGA-PBE | relaxed; V = 15.40 Å³ per atom; SG = C2/m; formation energy without anion corrections = -982 meV per atom; ρ = 5.3 g/cm³; calculated total energy = -48.56 eV/cell
1.0
3.947 0.000 0.000
-1.973 5.050 0.058
0.000 -0.712 6.944
O Ag Ge
5 2 2
Direct
0.148 0.297 0.650
0.852 0.703 0.350
0.309 0.618 0.063
0.000 0.000 0.000
0.691 0.382 0.937
0.365 0.729 0.506
0.635 0.271 0.494
0.846 0.692 0.097
0.154 0.308 0.903